i) Computed, not measured: a relaxed structure of YAs2SeO at the PBE level of DFT.

Summary:
**Size of the total moment**: 0.00 μB per formula unit

Cell and atoms, written as CIF:
```
data_YAs2SeO
_chemical_formula_sum 'Y1 As2 Se1 O1'
_space_group_name_H-M_alt 'P 1'
_space_group_IT_number 1
_space_group_name_Hall 'P 1'
_cell_length_a 5.4959
_cell_length_b 5.4959
_cell_length_c 5.2899
_cell_angle_alpha 90.00
_cell_angle_beta 90.00
_cell_angle_gamma 90.00
loop_
_atom_site_label
_atom_site_fract_x
_atom_site_fract_y
_atom_site_fract_z
Y1 0.0000 0.0000 0.0000
As1 0.0000 0.5000 0.0000
As2 0.5000 0.0000 0.0000
Se1 0.0000 0.0000 0.5000
O1 0.5000 0.5000 0.5000
```

ii) Computed, not measured: a relaxed structure of YAs2SeO at the PBE level of DFT.

Summary:
**Size of the total moment**: 0.00 μB per formula unit

Cell and atoms, written as CIF:
```
data_YAs2SeO
_chemical_formula_sum 'Y1 As2 Se1 O1'
_space_group_name_H-M_alt 'P 1'
_space_group_IT_number 1
_space_group_name_Hall 'P 1'
_cell_length_a 4.3468
_cell_length_b 4.3468
_cell_length_c 4.8915
_cell_angle_alpha 90.00
_cell_angle_beta 90.00
_cell_angle_gamma 90.00
loop_
_atom_site_label
_atom_site_fract_x
_atom_site_fract_y
_atom_site_fract_z
Y1 0.0000 0.0000 0.0000
As1 0.0000 0.5000 0.5000
As2 0.5000 0.0000 0.5000
Se1 0.5000 0.5000 0.0000
O1 0.5000 0.5000 0.5000
```

Stability check: which of them is least stable? i).

i) Computed, not measured: a relaxed structure of YAsSe2O at the PBE level of DFT.

Summary:
**Size of the total moment**: 0.00 μB per formula unit

Cell and atoms, written as CIF:
```
data_YAsSe2O
_chemical_formula_sum 'Y1 As1 Se2 O1'
_space_group_name_H-M_alt 'P 1'
_space_group_IT_number 1
_space_group_name_Hall 'P 1'
_cell_length_a 4.6153
_cell_length_b 4.6153
_cell_length_c 4.3952
_cell_angle_alpha 90.00
_cell_angle_beta 90.00
_cell_angle_gamma 90.00
loop_
_atom_site_label
_atom_site_fract_x
_atom_site_fract_y
_atom_site_fract_z
Y1 0.0000 0.0000 0.0000
As1 0.5000 0.5000 0.0000
Se1 0.0000 0.5000 0.5000
Se2 0.5000 0.0000 0.5000
O1 0.5000 0.5000 0.5000
```

ii) Computed, not measured: a relaxed structure of YAsSe2O at the PBE level of DFT.

Summary:
**Size of the total moment**: 0.82 μB per formula unit

Cell and atoms, written as CIF:
```
data_YAsSe2O
_chemical_formula_sum 'Y1 As1 Se2 O1'
_space_group_name_H-M_alt 'P 1'
_space_group_IT_number 1
_space_group_name_Hall 'P 1'
_cell_length_a 5.4021
_cell_length_b 5.4021
_cell_length_c 5.6579
_cell_angle_alpha 90.00
_cell_angle_beta 90.00
_cell_angle_gamma 90.00
loop_
_atom_site_label
_atom_site_fract_x
_atom_site_fract_y
_atom_site_fract_z
Y1 0.0000 0.0000 0.0000
As1 0.0000 0.0000 0.5000
Se1 0.0000 0.5000 0.0000
Se2 0.5000 0.0000 0.0000
O1 0.5000 0.5000 0.5000
```

Stability check: which of them is least stable? ii).